## Sb2OsBr (SCAN)

Data for a PBEsol-optimized structure of Sb2OsBr.

Cell lengths 3.3335, 3.3335, 9.3625 Å; angles 79.75, 79.75, 60.00 degrees
Element x y z (fractional)
Sb: 0.9835 0.9835 0.0494
Sb: 0.7494 0.7494 0.7520
Os: 0.2526 0.2526 0.2421
Br: 0.5145 0.5145 0.4566

Summary:
- ρ: 9.673 g cm⁻³
- Formation energy from raw total energies: 0.57 eV per atom


## SbTe2OsBr (SCAN)

Data for a PBEsol-optimized structure of SbTe2OsBr.

Cell lengths 5.4423, 5.2682, 5.2682 Å; angles 90.00, 90.00, 90.00 degrees
Element x y z (fractional)
Sb: 0.5000 0.0000 0.0000
Te: 0.0000 0.0000 0.5000
Te: 0.0000 0.5000 0.0000
Os: 0.5000 0.5000 0.5000
Br: 0.0000 0.0000 0.0000

Summary:
- ρ: 7.114 g cm⁻³
- Formation energy from raw total energies: 2.09 eV per atom


## TiSbOsBr2 (SCAN)

Data for a PBEsol-optimized structure of TiSbOsBr2.

Cell lengths 4.8054, 4.8054, 4.8883 Å; angles 90.00, 90.00, 90.00 degrees
Element x y z (fractional)
Sb: 0.5000 0.5000 0.5000
Os: 0.0000 0.0000 0.5000
Br: 0.0000 0.5000 0.0000
Br: 0.5000 0.0000 0.0000
Ti: 0.0000 0.0000 0.0000

Summary:
- ρ: 7.645 g cm⁻³
- Formation energy from raw total energies: 0.69 eV per atom


Which formula does entry 3 have?
TiSbOsBr2


ρ of number 1 (Sb2OsBr)?
9.673 g cm⁻³


What is the ρ in the third record?
7.645 g cm⁻³


Copy entry 2 word for word.
## SbTe2OsBr (SCAN)

Data for a PBEsol-optimized structure of SbTe2OsBr.

Cell lengths 5.4423, 5.2682, 5.2682 Å; angles 90.00, 90.00, 90.00 degrees
Element x y z (fractional)
Sb: 0.5000 0.0000 0.0000
Te: 0.0000 0.0000 0.5000
Te: 0.0000 0.5000 0.0000
Os: 0.5000 0.5000 0.5000
Br: 0.0000 0.0000 0.0000

Summary:
- ρ: 7.114 g cm⁻³
- Formation energy from raw total energies: 2.09 eV per atom